(1)
The following is a DFT calculation (GGA-PBE) of an optimized crystal structure of Be2Ni.

abc: 3.898 3.898 3.898
angles: 144.99 123.53 68.19
Element x y z (fractional)
Be1 0.197 0.197 0.000
Be2 0.803 0.803 0.000
Ni1 0.500 0.000 0.500

Output
Space-group type: No. 71
Energy of formation from the pure elements in eV per atom: -0.100

=====

(2)
The following is a DFT calculation (GGA-PBE) of an optimized crystal structure of Ge2PbAu2.

abc: 8.371 8.371 3.053
angles: 90.00 90.00 90.00
Element x y z (fractional)
Ge1 0.133 0.367 0.000
Ge2 0.367 0.867 0.000
Ge3 0.633 0.133 0.000
Ge4 0.867 0.633 0.000
Pb1 0.000 0.000 0.000
Pb2 0.500 0.500 0.000
Au1 0.164 0.664 0.500
Au2 0.336 0.164 0.500
Au3 0.664 0.836 0.500
Au4 0.836 0.336 0.500

Output
Relative energy among the computed polymorphs in meV/atom: 136.4
Space-group type: No. 127
Energy of formation from the pure elements in eV per atom: 0.137

=====

(3)
The following is a DFT calculation (GGA-PBE) of an optimized crystal structure of K3Rh2Cl9.

abc: 9.463 9.463 9.463
angles: 76.45 76.45 76.45
Element x y z (fractional)
K1 0.092 0.750 0.408
K2 0.250 0.592 0.908
K3 0.408 0.092 0.750
K4 0.592 0.908 0.250
K5 0.750 0.408 0.092
K6 0.908 0.250 0.592
Rh1 0.172 0.172 0.172
Rh2 0.328 0.328 0.328
Rh3 0.672 0.672 0.672
Rh4 0.828 0.828 0.828
Cl1 0.059 0.892 0.727
Cl2 0.092 0.408 0.250
Cl3 0.108 0.273 0.941
Cl4 0.227 0.392 0.559
Cl5 0.250 0.092 0.408
Cl6 0.273 0.941 0.108
Cl7 0.392 0.559 0.227
Cl8 0.408 0.250 0.092
Cl9 0.441 0.773 0.608
Cl10 0.559 0.227 0.392
Cl11 0.592 0.750 0.908
Cl12 0.608 0.441 0.773
Cl13 0.727 0.059 0.892
Cl14 0.750 0.908 0.592
Cl15 0.773 0.608 0.441
Cl16 0.892 0.727 0.059
Cl17 0.908 0.592 0.750
Cl18 0.941 0.108 0.273

Output
Energy relative to the elements, uncorrected in kJ/mol of atoms: -115.2
Space-group type: No. 167

=====

(4)
The following is a DFT calculation (GGA-PBE) of an optimized crystal structure of Sc2PaB2Ru5.

abc: 9.603 9.603 3.159
angles: 90.00 90.00 90.00
Element x y z (fractional)
Sc1 0.170 0.330 0.000
Sc2 0.330 0.830 0.000
Sc3 0.670 0.170 0.000
Sc4 0.830 0.670 0.000
Pa1 0.000 0.000 0.000
Pa2 0.500 0.500 0.000
B1 0.120 0.620 0.000
B2 0.380 0.120 0.000
B3 0.620 0.880 0.000
B4 0.880 0.380 0.000
Ru1 0.000 0.500 0.500
Ru2 0.075 0.780 0.500
Ru3 0.220 0.075 0.500
Ru4 0.280 0.575 0.500
Ru5 0.425 0.280 0.500
Ru6 0.500 0.000 0.500
Ru7 0.575 0.720 0.500
Ru8 0.720 0.425 0.500
Ru9 0.780 0.925 0.500
Ru10 0.925 0.220 0.500

Output
Space-group type: No. 127
Energy of formation from the pure elements in eV per atom: -0.570

=====

(5)
The following is a DFT calculation (GGA-PBE) of an optimized crystal structure of LuCo4B.

abc: 4.943 4.943 6.831
angles: 90.00 90.00 120.00
Element x y z (fractional)
Lu1 0.000 0.000 0.000
Lu2 0.000 0.000 0.500
Co1 0.000 0.500 0.213
Co2 0.000 0.500 0.787
Co3 0.333 0.667 0.500
Co4 0.500 0.000 0.213
Co5 0.500 0.000 0.787
Co6 0.500 0.500 0.213
Co7 0.500 0.500 0.787
Co8 0.667 0.333 0.500
B1 0.333 0.667 0.000
B2 0.667 0.333 0.000

Output
Space-group type: No. 191
Energy of formation from the pure elements in eV per atom: -0.331

=====

(6)
The following is a DFT calculation (GGA-PBE) of an optimized crystal structure of Ba2CdPdAu.

abc: 6.026 6.026 5.195
angles: 90.00 90.00 90.00
Element x y z (fractional)
Ba1 0.000 0.500 0.000
Ba2 0.500 0.000 0.000
Cd1 0.000 0.000 0.500
Pd1 0.000 0.000 0.000
Au1 0.500 0.500 0.500

Output
Relative energy among the computed polymorphs in meV/atom: 0.0
Space-group type: No. 123
Energy of formation from the pure elements in eV per atom: -0.366

=====

(7)
The following is a DFT calculation (GGA-PBE) of an optimized crystal structure of KCr2In.

abc: 3.375 5.110 5.614
angles: 90.00 90.00 90.00
Element x y z (fractional)
K1 0.000 0.000 0.000
Cr1 0.000 0.500 0.500
Cr2 0.500 0.500 0.000
In1 0.500 0.000 0.500

Output
Space-group type: No. 47
Energy of formation from the pure elements in eV per atom: 1.044

=====

(8)
The following is a DFT calculation (GGA-PBE) of an optimized crystal structure of BiP6Pd12.

abc: 7.167 7.167 7.167
angles: 106.33 106.33 106.33
Element x y z (fractional)
Bi1 0.000 0.000 0.000
P1 0.247 0.247 0.672
P2 0.247 0.672 0.247
P3 0.328 0.753 0.753
P4 0.672 0.247 0.247
P5 0.753 0.328 0.753
P6 0.753 0.753 0.328
Pd1 0.127 0.500 0.873
Pd2 0.127 0.873 0.500
Pd3 0.171 0.429 0.429
Pd4 0.429 0.171 0.429
Pd5 0.429 0.429 0.171
Pd6 0.500 0.127 0.873
Pd7 0.500 0.873 0.127
Pd8 0.571 0.571 0.829
Pd9 0.571 0.829 0.571
Pd10 0.829 0.571 0.571
Pd11 0.873 0.127 0.500
Pd12 0.873 0.500 0.127

Output
Space-group type: No. 166
Energy of formation from the pure elements in eV per atom: -0.309

=====

Calculated DFT total energy (eV/atom), listed in the same order as above: -4.51; -3.76; -3.67; -8.76; -6.93; -3.01; -4.73; -5.50
Calculated total magnetization (μB/f.u.), listed in the same order as above: 0.0; 0.0; 0.0; 0.0; 3.7; 0.0; 8.4; 0.0